(1)
Computed, not measured: an optimized crystal structure of ReBr2Cl2 at the PBE level of DFT.

Cell and atoms, written as POSCAR:
```
ReBr2Cl2
1.0
-3.6113 -3.9782 3.9873
2.6481 -1.1511 6.8635
-4.3232 3.3576 5.0480
Cl Br Re
4 4 2
Cartesian
-5.0731 -0.7691 8.4520 Cl
-3.4089 1.0642 6.6145 Cl
-0.2133 -1.0025 7.4468 Cl
-1.8776 -2.8359 9.2843 Cl
-1.9985 1.1737 10.5882 Br
-1.4067 -0.7148 3.6263 Br
-3.8797 -1.0568 12.2725 Br
-3.2880 -2.9454 5.3106 Br
-1.0858 -1.1961 1.1988 Re
-2.5255 -2.7821 2.7885 Re
```

Summary:
- Spin magnetization: 0.1994 μB per atom
- Formation energy without anion corrections: -425 meV/atom
- E_tot: -43.23 eV per cell


(2)
Computed, not measured: an optimized crystal structure of TcTe2N at the PBE level of DFT.

Cell and atoms, written as POSCAR:
```
TcTe2N
1.0
-2.0403 -1.8408 -6.4200
0.5439 -4.6535 -5.1785
-3.2749 -4.7471 -3.9380
Te N Tc
2 1 1
Cartesian
-4.3038 -10.1402 -14.0145 Te
-0.4674 -1.1013 -1.5220 Te
0.0000 0.0000 0.0000 N
-2.3856 -5.6207 -7.7683 Tc
```

Summary:
- Spin magnetization: 0.0001 μB per atom
- Density of states at the Fermi level: 3.7 states/eV per cell
- E above lowest polymorph: 0.000 eV/atom
- Formation energy without anion corrections: 779 meV/atom
- E_tot: -21.86 eV per cell


(3)
Computed, not measured: an optimized crystal structure of U2AgSe2N2 at the PBE level of DFT.

Cell and atoms, written as POSCAR:
```
U2AgSe2N2
1.0
-1.5977 -3.0522 1.6758
3.4316 1.2458 1.1616
-5.1485 6.9521 7.7535
U Se N Ag
2 2 2 1
Cartesian
-1.8652 1.0053 4.4319 U
-1.4495 4.1403 6.1590 U
-4.0378 5.4522 6.0807 Se
-1.1108 1.4999 1.6728 Se
-0.4417 2.7795 4.6414 N
-2.8730 2.3661 5.9495 N
0.0000 0.0000 0.0000 Ag
```

Summary:
- Spin magnetization: 0.4187 μB per atom
- Density of states at the Fermi level: 8.2 states/eV per cell
- Formation energy without anion corrections: -1097 meV/atom
- E_tot: -56.73 eV per cell


(4)
Computed, not measured: an optimized crystal structure of Re2W2Se7 at the PBE level of DFT.

Cell and atoms, written as POSCAR:
```
Re2W2Se7
1.0
-5.5188 0.0188 -4.1834
-1.2230 -7.4221 0.5162
-3.5347 5.5869 3.6251
Se W Re
7 2 2
Cartesian
-3.8080 -3.5575 1.2021 Se
0.0000 0.0000 0.0000 Se
-4.6546 1.2067 2.3406 Se
-7.1697 -1.3618 0.3665 Se
-3.1069 -0.4546 -0.4086 Se
-5.6220 -3.0231 -2.3827 Se
-6.4686 1.7411 -1.2442 Se
-3.6344 -1.1423 2.0769 W
-6.6422 -0.6741 -2.1190 W
-4.9185 -2.1454 -0.3167 Re
-5.3581 0.3290 0.2746 Re
```

Summary:
- Spin magnetization: 0.0000 μB per atom
- Density of states at the Fermi level: 6.2 states/eV per cell
- Formation energy without anion corrections: 64 meV/atom
- E_tot: -74.50 eV per cell


(5)
Computed, not measured: an optimized crystal structure of ZrReSe2 at the PBE level of DFT.

Cell and atoms, written as POSCAR:
```
ZrReSe2
1.0
3.8158 0.0000 0.0000
0.0000 3.1780 0.0103
0.0000 -0.0174 6.1402
Zr Se Re
1 2 1
Cartesian
1.9079 0.7901 1.5376 Zr
0.0000 2.3827 0.0490 Se
0.0000 2.3756 3.0366 Se
1.9079 2.3704 4.6129 Re
```

Summary:
- Spin magnetization: 0.0000 μB per atom
- Density of states at the Fermi level: 3.2 states/eV per cell
- E above lowest polymorph: 0.317 eV/atom
- Formation energy without anion corrections: -103 meV/atom
- E_tot: -28.38 eV per cell


(6)
Computed, not measured: an optimized crystal structure of SmPaIrRh at the PBE level of DFT.

Cell and atoms, written as POSCAR:
```
SmPaIrRh
1.0
3.7748 0.0000 0.0000
0.0000 4.1165 0.0000
-1.8874 0.0000 5.6792
Ir Sm Rh Pa
1 1 1 1
Cartesian
0.0000 0.0000 4.5632 Ir
0.0000 0.0000 1.6211 Sm
1.8874 2.0583 0.9420 Rh
1.8874 2.0583 4.2322 Pa
```

Summary:
- Spin magnetization: 0.0000 μB per atom
- Density of states at the Fermi level: 2.7 states/eV per cell
- E above lowest polymorph: 0.000 eV/atom
- Formation energy: -0.817 eV per atom
- E_tot: -33.69 eV per cell


(7)
Computed, not measured: an optimized crystal structure of LaIn2Re at the PBE level of DFT.

Cell and atoms, written as POSCAR:
```
LaIn2Re
1.0
-1.3619 2.7587 -0.1836
-1.0924 -1.6946 2.3310
7.1896 3.9652 6.2519
La In Re
1 2 1
Cartesian
0.5703 1.5233 2.6367 La
3.8427 2.1194 3.3416 In
6.9416 3.8285 6.0363 In
4.1650 3.5060 5.7627 Re
```

Summary:
- Spin magnetization: 0.0802 μB per atom
- Density of states at the Fermi level: 3.3 states/eV per cell
- E above lowest polymorph: 0.234 eV/atom
- Formation energy: 0.415 eV per atom
- E_tot: -21.19 eV per cell


(8)
Computed, not measured: an optimized crystal structure of TlAsRh2 at the PBE level of DFT.

Cell and atoms, written as POSCAR:
```
TlAsRh2
1.0
-3.3827 3.4718 0.5793
-3.6651 -2.7801 1.6339
4.5025 1.0321 1.5791
Tl As Rh
1 1 2
Cartesian
-1.2021 2.4249 1.6325 Tl
-1.3433 -0.7011 2.1598 As
-0.3285 0.0322 0.1031 Rh
-3.1955 0.3136 1.0035 Rh
```

Summary:
- Spin magnetization: 0.0000 μB per atom
- Density of states at the Fermi level: 2.1 states/eV per cell
- Formation energy: 0.032 eV per atom
- E_tot: -21.59 eV per cell


(9)
Computed, not measured: an optimized crystal structure of CeYS2N at the PBE level of DFT.

Cell and atoms, written as POSCAR:
```
CeYS2N
1.0
3.9054 0.0000 0.0000
0.0000 3.9054 0.0000
0.0000 0.0000 13.9131
N S Ce Y
2 4 2 2
Cartesian
1.9527 1.9527 6.9566 N
0.0000 0.0000 6.9566 N
0.0000 1.9527 1.2587 S
0.0000 1.9527 9.6930 S
1.9527 0.0000 12.6544 S
1.9527 0.0000 4.2201 S
1.9527 0.0000 8.1374 Ce
0.0000 1.9527 5.7757 Ce
0.0000 1.9527 12.2113 Y
1.9527 0.0000 1.7018 Y
```

Summary:
- Spin magnetization: 0.0000 μB per atom
- Density of states at the Fermi level: 4.3 states/eV per cell
- Formation energy without anion corrections: -1824 meV/atom
- E_tot: -76.19 eV per cell


(10)
Computed, not measured: an optimized crystal structure of NdErAl2Ga2 at the PBE level of DFT.

Cell and atoms, written as POSCAR:
```
NdErAl2Ga2
1.0
-0.3678 2.0457 -3.9964
2.8583 -3.4436 0.5129
-5.2226 -4.6152 -1.8818
Er Ga Nd Al
1 2 1 2
Cartesian
-2.6113 -2.3076 -0.9409 Er
0.3785 -2.8549 -1.4962 Ga
-3.1106 -3.1582 -3.8691 Ga
0.0000 0.0000 0.0000 Nd
-2.0572 -5.0073 -2.3739 Al
-0.6749 -1.0057 -2.9914 Al
```

Summary:
- Spin magnetization: 0.0000 μB per atom
- Density of states at the Fermi level: 1.6 states/eV per cell
- Formation energy: -0.568 eV per atom
- E_tot: -26.28 eV per cell


(11)
Computed, not measured: an optimized crystal structure of SiBiOF2 at the PBE level of DFT.

Cell and atoms, written as POSCAR:
```
SiBiOF2
1.0
-4.2265 1.6896 0.2499
-0.4512 -0.4612 -4.5126
-1.6616 -4.2451 0.5999
Si F O Bi
1 2 1 1
Cartesian
-3.1696 -1.5084 -1.8314 Si
-2.1132 0.8448 0.1250 F
-0.2256 -0.2306 -2.2563 F
-0.8308 -2.1226 0.3000 O
0.0000 0.0000 0.0000 Bi
```

Summary:
- Spin magnetization: 0.2004 μB per atom
- Density of states at the Fermi level: 2.0 states/eV per cell
- E above lowest polymorph: 0.398 eV/atom
- Formation energy without anion corrections: -808 meV/atom
- E_tot: -22.04 eV per cell


(12)
Computed, not measured: an optimized crystal structure of AlCdSeN2 at the PBE level of DFT.

Cell and atoms, written as POSCAR:
```
AlCdSeN2
1.0
3.9237 0.0000 0.0000
0.0000 5.6847 0.0000
0.0000 0.0000 3.9237
Al Cd N Se
1 1 2 1
Cartesian
1.9619 2.8423 1.9619 Al
0.0000 2.8423 0.0000 Cd
0.0000 0.0000 1.9619 N
1.9619 0.0000 0.0000 N
0.0000 0.0000 0.0000 Se
```

Summary:
- Spin magnetization: 0.1445 μB per atom
- Density of states at the Fermi level: 2.5 states/eV per cell
- E above lowest polymorph: 0.998 eV/atom
- Formation energy without anion corrections: 1565 meV/atom
- E_tot: -16.97 eV per cell


- What is the E_tot in the second record?
  -21.86 eV per cell